(1)
# Mg2H2Pb | Alexandria | GGA-PBE | optimized geometry
# - Energy: -28.2 eV/cell
# - Magnetization: 0.0 μB per cell
data_Mg2H2Pb
_chemical_formula_sum 'Mg4 H4 Pb2'
_cell_length_a 3.394
_cell_length_b 3.394
_cell_length_c 13.156
_cell_angle_alpha 90.00
_cell_angle_beta 90.00
_cell_angle_gamma 90.00
_symmetry_space_group_name_H-M 'I 4/m m m'
_symmetry_Int_Tables_number 139
_symmetry_space_group_name_Hall '-I 4 2'
loop_
_atom_site_label
_atom_site_fract_x
_atom_site_fract_y
_atom_site_fract_z
Mg1 0.000 0.000 0.167
H1 0.000 0.500 0.250
Pb1 0.000 0.000 0.500



(2)
# Pd3RuRh | Alexandria | GGA-PBE | optimized geometry
# - ΔE_f: 157 kJ/mol of atoms
# - Magnetization: 4.5 μB per cell
data_Pd3RuRh
_chemical_formula_sum 'Pd3 Ru1 Rh1'
_cell_length_a 4.750
_cell_length_b 4.750
_cell_length_c 4.750
_cell_angle_alpha 90.00
_cell_angle_beta 90.00
_cell_angle_gamma 90.00
_symmetry_space_group_name_H-M 'P m -3 m'
_symmetry_Int_Tables_number 221
_symmetry_space_group_name_Hall '-P 4 2 3'
loop_
_atom_site_label
_atom_site_fract_x
_atom_site_fract_y
_atom_site_fract_z
Pd1 0.000 0.000 0.500
Ru1 0.500 0.500 0.500
Rh1 0.000 0.000 0.000



(3)
# Sc2MnCl | Alexandria | GGA-PBE | optimized geometry
# - Formation energy (no corrections): -0.308 eV per atom
# - Magnetization: 2.0 μB per cell
data_Sc2MnCl
_chemical_formula_sum 'Sc2 Mn1 Cl1'
_cell_length_a 3.123
_cell_length_b 4.617
_cell_length_c 5.225
_cell_angle_alpha 90.00
_cell_angle_beta 90.00
_cell_angle_gamma 90.00
_symmetry_space_group_name_H-M 'P m m 2'
_symmetry_Int_Tables_number 25
loop_
_symmetry_equiv_pos_as_xyz
'x,y,z'
'-x,-y,z'
'-x,y,z'
'x,-y,z'
loop_
_atom_site_label
_atom_site_fract_x
_atom_site_fract_y
_atom_site_fract_z
Sc1 0.000 0.000 0.000
Sc2 0.500 0.500 0.499
Mn1 0.000 0.000 0.499
Cl1 0.500 0.500 0.999



(4)
# Ca2ReRh2 | Alexandria | GGA-PBE | optimized geometry
# - ΔE_f: -4 kJ/mol of atoms
# - Magnetization: 0.0 μB per cell
data_Ca2ReRh2
_chemical_formula_sum 'Ca4 Re2 Rh4'
_cell_length_a 6.546
_cell_length_b 6.546
_cell_length_c 4.768
_cell_angle_alpha 90.00
_cell_angle_beta 90.00
_cell_angle_gamma 90.00
_symmetry_space_group_name_H-M 'P 4/m b m'
_symmetry_Int_Tables_number 127
_symmetry_space_group_name_Hall '-P 4 2ab'
loop_
_atom_site_label
_atom_site_fract_x
_atom_site_fract_y
_atom_site_fract_z
Ca1 0.179 0.321 0.000
Re1 0.000 0.000 0.500
Rh1 0.142 0.642 0.500



(5)
# AlGeI2N | Alexandria | GGA-PBE | optimized geometry
# - Formation energy (no corrections): 0.280 eV per atom
# - Magnetization: 0.0 μB per cell
data_AlGeI2N
_chemical_formula_sum 'Al1 Ge1 I2 N1'
_cell_length_a 5.772
_cell_length_b 5.772
_cell_length_c 3.577
_cell_angle_alpha 90.00
_cell_angle_beta 90.00
_cell_angle_gamma 90.00
_symmetry_space_group_name_H-M 'P 4/m m m'
_symmetry_Int_Tables_number 123
_symmetry_space_group_name_Hall '-P 4 2'
loop_
_atom_site_label
_atom_site_fract_x
_atom_site_fract_y
_atom_site_fract_z
Al1 0.000 0.000 0.000
Ge1 0.500 0.500 0.500
I1 0.000 0.500 0.000
N1 0.000 0.000 0.500



(6)
# K3Pr2HfTe6 | Alexandria | GGA-PBE | optimized geometry
# - Formation energy (no corrections): -1.216 eV per atom
# - Magnetization: 0.0 μB per cell
data_K3Pr2HfTe6
_chemical_formula_sum 'K6 Pr4 Hf2 Te12'
_cell_length_a 7.765
_cell_length_b 13.456
_cell_length_c 8.695
_cell_angle_alpha 90.00
_cell_angle_beta 107.46
_cell_angle_gamma 90.00
_symmetry_space_group_name_H-M 'C 1 2/m 1'
_symmetry_Int_Tables_number 12
loop_
_symmetry_equiv_pos_as_xyz
'x,y,z'
'-x,-y,-z'
'-x,y,-z'
'x,-y,z'
'x+1/2,y+1/2,z'
'-x+1/2,-y+1/2,-z'
'-x+1/2,y+1/2,-z'
'x+1/2,-y+1/2,z'
loop_
_atom_site_label
_atom_site_fract_x
_atom_site_fract_y
_atom_site_fract_z
K1 0.000 0.000 0.000
K2 0.000 0.326 0.000
Pr1 0.000 0.166 0.500
Hf1 0.000 0.500 0.500
Te1 0.224 0.345 0.710
Te2 0.237 0.500 0.288